# 1
{
  "formula": "BaTeP2S",
  "functional": "SCAN",
  "state": "single point on PBEsol structure",
  "lattice_angstrom": [[5.071, 0.000, 0.000], [0.000, 5.071, 0.000], [0.000, 0.000, 5.205]],
  "species": ["P", "P", "Te", "Ba", "S"],
  "fractional_positions": [[0.000, 0.500, 0.000], [0.500, 0.000, 0.000], [0.000, 0.000, 0.000], [0.500, 0.500, 0.500], [0.000, 0.000, 0.500]],
  "sg": "P4/mmm (123)",
  "raw_formation_energy_ev_per_atom": -0.136,
  "energy_ev_per_atom": -21.582,
  "rho_g_cm3": 4.452,
  "relative_energy_mev_per_atom": 0
}



# 2
{
  "formula": "BaTlPS2",
  "functional": "SCAN",
  "state": "single point on PBEsol structure",
  "lattice_angstrom": [[-0.462, 4.795, 1.307], [-2.114, 1.061, -4.642], [-4.737, -0.983, 1.932]],
  "species": ["Tl", "S", "S", "P", "Ba"],
  "fractional_positions": [[0.000, 0.000, 0.000], [0.000, 0.000, 0.500], [0.000, 0.500, 0.000], [0.500, 0.000, 0.000], [0.500, 0.500, 0.500]],
  "sg": "P4/mmm (123)",
  "raw_formation_energy_ev_per_atom": -0.343,
  "energy_ev_per_atom": -28.656,
  "rho_g_cm3": 5.355
}



# 3
{
  "formula": "BaSb2P",
  "functional": "SCAN",
  "state": "single point on PBEsol structure",
  "lattice_angstrom": [[-1.587, 3.093, -0.651], [-2.226, -1.611, -2.226], [-5.605, -1.473, 6.673]],
  "species": ["Sb", "Sb", "P", "Ba"],
  "fractional_positions": [[0.000, 0.000, 0.929], [0.500, 0.500, 0.245], [0.500, 0.500, 0.794], [0.000, 0.000, 0.532]],
  "sg": "P4mm (99)",
  "raw_formation_energy_ev_per_atom": -0.182,
  "energy_ev_per_atom": -31.300,
  "rho_g_cm3": 6.187
}



# 4
{
  "formula": "BaSbP",
  "functional": "SCAN",
  "state": "single point on PBEsol structure",
  "lattice_angstrom": [[-4.256, 1.000, 2.933], [-4.396, -2.811, -0.696], [-1.532, -3.443, 3.676]],
  "species": ["Ba", "Sb", "P"],
  "fractional_positions": [[0.750, 0.750, 0.750], [0.500, 0.500, 0.500], [0.000, 0.000, 0.000]],
  "sg": "F-43m (216)",
  "raw_formation_energy_ev_per_atom": 0.184,
  "energy_ev_per_atom": -28.886,
  "rho_g_cm3": 4.669
}



# 5
{
  "formula": "BaSb2P2",
  "functional": "SCAN",
  "state": "single point on PBEsol structure",
  "lattice_angstrom": [[5.177, 0.000, 0.000], [0.000, 5.177, 0.000], [-2.589, -2.589, 5.194]],
  "species": ["P", "P", "Ba", "Sb", "Sb"],
  "fractional_positions": [[0.250, 0.750, 0.500], [0.750, 0.250, 0.500], [0.000, 0.000, 0.000], [0.670, 0.670, 0.340], [0.330, 0.330, 0.660]],
  "sg": "I4/mmm (139)",
  "raw_formation_energy_ev_per_atom": -0.305,
  "energy_ev_per_atom": -27.279,
  "rho_g_cm3": 5.282
}



# 6
{
  "formula": "BaSb2P",
  "functional": "SCAN",
  "state": "single point on PBEsol structure",
  "lattice_angstrom": [[3.841, 0.000, 0.000], [0.000, 5.812, 0.000], [-1.920, -2.906, 5.000]],
  "species": ["P", "Ba", "Sb", "Sb"],
  "fractional_positions": [[0.288, 0.788, 0.576], [0.519, 0.519, 0.039], [0.969, 0.969, 0.937], [0.724, 0.224, 0.449]],
  "sg": "Imm2 (44)",
  "raw_formation_energy_ev_per_atom": -0.252,
  "energy_ev_per_atom": -31.369,
  "rho_g_cm3": 6.127
}



# 7
{
  "formula": "Ba2ScP",
  "functional": "SCAN",
  "state": "single point on PBEsol structure",
  "lattice_angstrom": [[-2.642, -0.838, -2.393], [-0.660, -3.312, 1.889], [-4.740, 6.491, 5.761]],
  "species": ["P", "Sc", "Ba", "Ba"],
  "fractional_positions": [[0.500, 0.000, 0.000], [0.000, 0.500, 0.000], [0.154, 0.154, 0.309], [0.846, 0.846, 0.691]],
  "sg": "Immm (71)",
  "energy_ev_per_atom": -26.501,
  "rho_g_cm3": 4.314
}



# 8
{
  "formula": "Ba2ScP",
  "functional": "SCAN",
  "state": "single point on PBEsol structure",
  "lattice_angstrom": [[-3.797, -2.355, 1.475], [2.195, -1.009, 4.038], [-1.077, 6.030, -0.649]],
  "species": ["Ba", "Ba", "Sc", "P"],
  "fractional_positions": [[0.250, 0.750, 0.500], [0.750, 0.250, 0.500], [0.000, 0.000, 0.000], [0.500, 0.500, 0.000]],
  "sg": "I4/mmm (139)",
  "energy_ev_per_atom": -25.923,
  "rho_g_cm3": 5.072
}



# 9
{
  "formula": "Ba2ScP",
  "functional": "SCAN",
  "state": "single point on PBEsol structure",
  "lattice_angstrom": [[5.371, 0.000, 0.000], [2.685, 4.651, 0.000], [2.685, 1.550, 4.385]],
  "species": ["P", "Ba", "Ba", "Sc"],
  "fractional_positions": [[0.500, 0.500, 0.500], [0.000, 0.000, 0.000], [0.750, 0.750, 0.750], [0.250, 0.250, 0.250]],
  "sg": "F-43m (216)",
  "energy_ev_per_atom": -25.763,
  "rho_g_cm3": 5.315
}



# 10
{
  "formula": "BaSc4P",
  "functional": "SCAN",
  "state": "single point on PBEsol structure",
  "lattice_angstrom": [[-2.339, -3.803, 4.072], [3.552, -4.045, 2.746], [1.344, 0.643, 5.856]],
  "species": ["Ba", "Sc", "Sc", "Sc", "Sc", "P"],
  "fractional_positions": [[0.750, 0.750, 0.750], [0.876, 0.375, 0.375], [0.375, 0.375, 0.375], [0.375, 0.375, 0.876], [0.375, 0.876, 0.375], [0.000, 0.000, 0.000]],
  "sg": "F-43m (216)",
  "energy_ev_per_atom": -17.331,
  "rho_g_cm3": 3.705
}



# 11
{
  "formula": "Ba2ScP",
  "functional": "SCAN",
  "state": "single point on PBEsol structure",
  "lattice_angstrom": [[3.855, 0.000, 0.000], [0.000, 5.710, 0.000], [-1.927, -2.855, 5.998]],
  "species": ["Sc", "Ba", "Ba", "P"],
  "fractional_positions": [[0.172, 0.672, 0.344], [0.986, 0.986, 0.971], [0.811, 0.311, 0.622], [0.532, 0.532, 0.064]],
  "sg": "Imm2 (44)",
  "energy_ev_per_atom": -26.482,
  "rho_g_cm3": 4.410
}



# 12
{
  "formula": "BaP2Se",
  "functional": "SCAN",
  "state": "single point on PBEsol structure",
  "lattice_angstrom": [[4.261, 0.000, 0.000], [0.000, 4.261, 0.000], [-2.130, -2.130, 5.096]],
  "species": ["Ba", "P", "P", "Se"],
  "fractional_positions": [[0.000, 0.000, 0.000], [0.750, 0.250, 0.500], [0.250, 0.750, 0.500], [0.500, 0.500, 0.000]],
  "sg": "I4/mmm (139)",
  "raw_formation_energy_ev_per_atom": -0.017,
  "energy_ev_per_atom": -20.124,
  "rho_g_cm3": 4.994,
  "relative_energy_mev_per_atom": 154
}



# 13
{
  "formula": "Ba3P2Se8",
  "functional": "SCAN",
  "state": "single point on PBEsol structure",
  "lattice_angstrom": [[-4.508, -5.116, -0.432], [5.452, -3.951, -10.111], [10.812, -10.357, 9.823]],
  "species": ["Se", "Se", "Se", "Se", "Se", "Se", "Se", "Se", "Se", "Se", "Se", "Se", "Se", "Se", "Se", "Se", "Se", "Se", "Se", "Se", "Se", "Se", "Se", "Se", "Se", "Se", "Se", "Se", "Se", "Se", "Se", "Se", "Ba", "Ba", "Ba", "Ba", "Ba", "Ba", "Ba", "Ba", "Ba", "Ba", "Ba", "Ba", "P", "P", "P", "P", "P", "P", "P", "P"],
  "fractional_positions": [[0.243, 0.436, 0.578], [0.766, 0.396, 0.090], [0.238, 0.088, 0.379], [0.213, 0.902, 0.070], [0.510, 0.328, 0.420], [0.713, 0.598, 0.930], [0.738, 0.412, 0.621], [0.656, 0.202, 0.251], [0.490, 0.672, 0.580], [0.587, 0.084, 0.750], [0.413, 0.916, 0.250], [0.762, 0.912, 0.621], [0.156, 0.298, 0.749], [0.990, 0.828, 0.420], [0.262, 0.588, 0.379], [0.266, 0.104, 0.910], [0.757, 0.564, 0.422], [0.344, 0.798, 0.749], [0.257, 0.936, 0.578], [0.287, 0.402, 0.070], [0.734, 0.896, 0.090], [0.787, 0.098, 0.930], [0.952, 0.845, 0.877], [0.452, 0.655, 0.123], [0.048, 0.155, 0.123], [0.743, 0.064, 0.422], [0.548, 0.345, 0.877], [0.844, 0.702, 0.251], [0.913, 0.584, 0.750], [0.010, 0.172, 0.580], [0.087, 0.416, 0.250], [0.234, 0.604, 0.910], [0.488, 0.850, 0.922], [0.016, 0.327, 0.423], [0.988, 0.650, 0.078], [0.012, 0.350, 0.922], [0.512, 0.150, 0.078], [0.068, 0.028, 0.746], [0.484, 0.827, 0.423], [0.932, 0.972, 0.254], [0.432, 0.528, 0.746], [0.568, 0.472, 0.254], [0.516, 0.173, 0.577], [0.984, 0.673, 0.577], [0.454, 0.836, 0.140], [0.546, 0.164, 0.860], [0.473, 0.833, 0.638], [0.954, 0.664, 0.860], [0.527, 0.167, 0.362], [0.973, 0.667, 0.362], [0.046, 0.336, 0.140], [0.027, 0.333, 0.638]],
  "sg": "P2_1/c (14)",
  "raw_formation_energy_ev_per_atom": -1.262,
  "energy_ev_per_atom": -24.345,
  "rho_g_cm3": 4.941
}



# 14
{
  "formula": "BaP2Se",
  "functional": "SCAN",
  "state": "single point on PBEsol structure",
  "lattice_angstrom": [[3.653, 0.000, 0.000], [0.000, 4.096, 0.000], [0.000, 0.000, 6.104]],
  "species": ["P", "P", "Se", "Ba"],
  "fractional_positions": [[0.000, 0.000, 0.824], [0.000, 0.000, 0.176], [0.500, 0.500, 0.000], [0.500, 0.500, 0.500]],
  "sg": "Pmmm (47)",
  "raw_formation_energy_ev_per_atom": -0.171,
  "energy_ev_per_atom": -20.278,
  "rho_g_cm3": 5.058,
  "relative_energy_mev_per_atom": 0
}



# 15
{
  "formula": "BaSiP2",
  "functional": "SCAN",
  "state": "single point on PBEsol structure",
  "lattice_angstrom": [[3.652, 0.000, 0.000], [0.000, 3.652, 0.000], [0.000, 0.000, 6.286]],
  "species": ["Si", "P", "P", "Ba"],
  "fractional_positions": [[0.500, 0.500, 0.000], [0.000, 0.000, 0.827], [0.000, 0.000, 0.173], [0.500, 0.500, 0.500]],
  "sg": "P4/mmm (123)",
  "raw_formation_energy_ev_per_atom": -0.097,
  "energy_ev_per_atom": -17.688,
  "rho_g_cm3": 4.504
}



# 16
{
  "formula": "Ba4SiP4",
  "functional": "SCAN",
  "state": "single point on PBEsol structure",
  "lattice_angstrom": [[-9.648, 8.619, 0.683], [-8.480, -9.632, 1.775], [1.689, 0.875, 12.815]],
  "species": ["Ba", "Ba", "Ba", "Ba", "Ba", "Ba", "Ba", "Ba", "Ba", "Ba", "Ba", "Ba", "Ba", "Ba", "Ba", "Ba", "Ba", "Ba", "Ba", "Ba", "Ba", "Ba", "Ba", "Ba", "Ba", "Ba", "Ba", "Ba", "Ba", "Ba", "Ba", "Ba", "P", "P", "P", "P", "P", "P", "P", "P", "P", "P", "P", "P", "P", "P", "P", "P", "P", "P", "P", "P", "P", "P", "P", "P", "P", "P", "P", "P", "P", "P", "P", "P", "Si", "Si", "Si", "Si", "Si", "Si", "Si", "Si"],
  "fractional_positions": [[0.593, 0.854, 0.367], [0.093, 0.867, 0.354], [0.093, 0.133, 0.646], [0.133, 0.646, 0.093], [0.354, 0.354, 0.646], [0.646, 0.907, 0.867], [0.146, 0.633, 0.593], [0.633, 0.593, 0.146], [0.646, 0.354, 0.354], [0.646, 0.093, 0.133], [0.867, 0.354, 0.093], [0.354, 0.093, 0.867], [0.354, 0.907, 0.133], [0.407, 0.854, 0.633], [0.367, 0.407, 0.146], [0.367, 0.593, 0.854], [0.146, 0.854, 0.854], [0.646, 0.646, 0.646], [0.907, 0.133, 0.354], [0.867, 0.646, 0.907], [0.854, 0.146, 0.854], [0.133, 0.354, 0.907], [0.633, 0.407, 0.854], [0.354, 0.646, 0.354], [0.854, 0.854, 0.146], [0.907, 0.867, 0.646], [0.854, 0.367, 0.593], [0.146, 0.146, 0.146], [0.146, 0.367, 0.407], [0.407, 0.146, 0.367], [0.854, 0.633, 0.407], [0.593, 0.146, 0.633], [0.898, 0.102, 0.102], [0.609, 0.653, 0.898], [0.898, 0.391, 0.347], [0.109, 0.398, 0.153], [0.898, 0.898, 0.898], [0.102, 0.391, 0.653], [0.602, 0.153, 0.891], [0.347, 0.102, 0.609], [0.109, 0.602, 0.847], [0.847, 0.109, 0.602], [0.102, 0.102, 0.898], [0.609, 0.347, 0.102], [0.102, 0.898, 0.102], [0.153, 0.109, 0.398], [0.391, 0.653, 0.102], [0.847, 0.891, 0.398], [0.602, 0.847, 0.109], [0.653, 0.102, 0.391], [0.391, 0.347, 0.898], [0.347, 0.898, 0.391], [0.398, 0.847, 0.891], [0.398, 0.398, 0.398], [0.153, 0.891, 0.602], [0.102, 0.609, 0.347], [0.398, 0.602, 0.602], [0.653, 0.898, 0.609], [0.602, 0.602, 0.398], [0.602, 0.398, 0.602], [0.398, 0.153, 0.109], [0.898, 0.609, 0.653], [0.891, 0.398, 0.847], [0.891, 0.602, 0.153], [0.500, 0.500, 0.500], [0.500, 0.750, 0.000], [0.000, 0.500, 0.750], [0.250, 0.000, 0.500], [0.750, 0.000, 0.500], [0.000, 0.000, 0.000], [0.000, 0.500, 0.250], [0.500, 0.250, 0.000]],
  "sg": "P-43n (218)",
  "raw_formation_energy_ev_per_atom": -1.136,
  "energy_ev_per_atom": -24.448,
  "rho_g_cm3": 4.285
}



# 17
{
  "formula": "Ba3Si4P6",
  "functional": "SCAN",
  "state": "single point on PBEsol structure",
  "lattice_angstrom": [[7.227, 0.000, 0.000], [0.000, 7.509, -0.001], [0.000, -1.878, 11.361]],
  "species": ["Si", "Si", "Si", "Si", "Si", "Si", "Si", "Si", "P", "P", "P", "P", "P", "P", "P", "P", "P", "P", "P", "P", "Ba", "Ba", "Ba", "Ba", "Ba", "Ba"],
  "fractional_positions": [[0.750, 0.822, 0.796], [0.923, 0.023, 0.592], [0.423, 0.977, 0.408], [0.250, 0.178, 0.204], [0.577, 0.023, 0.592], [0.750, 0.327, 0.797], [0.077, 0.977, 0.408], [0.250, 0.673, 0.203], [0.250, 0.898, 0.088], [0.504, 0.209, 0.318], [0.750, 0.102, 0.912], [0.496, 0.300, 0.682], [0.004, 0.300, 0.682], [0.504, 0.700, 0.318], [0.250, 0.396, 0.086], [0.496, 0.791, 0.682], [0.750, 0.604, 0.914], [0.004, 0.791, 0.682], [0.996, 0.209, 0.318], [0.996, 0.700, 0.318], [0.750, 0.502, 0.509], [0.750, 0.408, 0.135], [0.250, 0.498, 0.491], [0.750, 0.912, 0.147], [0.250, 0.088, 0.853], [0.250, 0.592, 0.865]],
  "sg": "P2_1/m (11)",
  "raw_formation_energy_ev_per_atom": -0.774,
  "energy_ev_per_atom": -17.782,
  "rho_g_cm3": 3.825
}



# 18
{
  "formula": "BaSiP3",
  "functional": "SCAN",
  "state": "single point on PBEsol structure",
  "lattice_angstrom": [[5.394, 0.000, 0.000], [0.000, 5.394, 0.000], [0.000, 0.000, 5.394]],
  "species": ["P", "P", "P", "Si", "Ba"],
  "fractional_positions": [[0.500, 0.000, 0.000], [0.000, 0.000, 0.500], [0.000, 0.500, 0.000], [0.500, 0.500, 0.500], [0.000, 0.000, 0.000]],
  "sg": "Pm-3m (221)",
  "raw_formation_energy_ev_per_atom": 1.966,
  "energy_ev_per_atom": -14.187,
  "rho_g_cm3": 2.733
}



# 19
{
  "formula": "Ba2SiP",
  "functional": "SCAN",
  "state": "single point on PBEsol structure",
  "lattice_angstrom": [[-1.021, -4.540, 2.747], [3.508, -4.108, -0.169], [2.931, -1.232, 4.370]],
  "species": ["Si", "P", "Ba", "Ba"],
  "fractional_positions": [[0.250, 0.250, 0.250], [0.500, 0.500, 0.500], [0.750, 0.750, 0.750], [0.000, 0.000, 0.000]],
  "sg": "F-43m (216)",
  "raw_formation_energy_ev_per_atom": 0.114,
  "energy_ev_per_atom": -24.764,
  "rho_g_cm3": 4.966,
  "relative_energy_mev_per_atom": 839
}



# 20
{
  "formula": "BaSiP2",
  "functional": "SCAN",
  "state": "single point on PBEsol structure",
  "lattice_angstrom": [[-2.236, -3.493, -0.162], [3.349, -2.078, -1.412], [1.500, -0.959, 4.970]],
  "species": ["P", "P", "Ba", "Si"],
  "fractional_positions": [[0.670, 0.500, 0.193], [0.094, 0.000, 0.189], [0.133, 0.500, 0.708], [0.603, 0.000, 0.410]],
  "sg": "Pm (6)",
  "raw_formation_energy_ev_per_atom": -0.354,
  "energy_ev_per_atom": -17.945,
  "rho_g_cm3": 4.118
}



# 21
{
  "formula": "Ba2SiP",
  "functional": "SCAN",
  "state": "single point on PBEsol structure",
  "lattice_angstrom": [[-2.199, -2.784, 0.910], [2.012, -0.609, 2.999], [-5.085, 5.498, 4.528]],
  "species": ["Ba", "Ba", "Si", "P"],
  "fractional_positions": [[0.000, 0.000, 0.267], [0.000, 0.000, 0.733], [0.500, 0.500, 0.000], [0.500, 0.500, 0.500]],
  "sg": "P4/mmm (123)",
  "raw_formation_energy_ev_per_atom": -0.396,
  "energy_ev_per_atom": -25.275,
  "rho_g_cm3": 4.721,
  "relative_energy_mev_per_atom": 329
}



# 22
{
  "formula": "Ba2SiP",
  "functional": "SCAN",
  "state": "single point on PBEsol structure",
  "lattice_angstrom": [[4.285, 0.000, 0.000], [0.000, 5.073, 0.002], [-2.143, -0.979, 5.692]],
  "species": ["Ba", "Ba", "Si", "P"],
  "fractional_positions": [[0.256, 0.338, 0.513], [0.993, 0.911, 0.986], [0.703, 0.791, 0.406], [0.547, 0.460, 0.094]],
  "sg": "Cm (8)",
  "raw_formation_energy_ev_per_atom": -0.725,
  "energy_ev_per_atom": -25.604,
  "rho_g_cm3": 4.479,
  "relative_energy_mev_per_atom": 0
}